A relaxed structure of Li17CaSm, computed with PBE-GGA.

Properties
**Energy of formation from the pure elements**: 0.06 eV per atom
**DOS(E_F)**: 37.10 states/eV/cell
**Crystal system**: trigonal
**Calculated volume**: 420.7 Å³/f.u.

a = 9.9609 Å, b = 9.9609 Å, c = 14.6865 Å
α = 90.00°, β = 90.00°, γ = 120.00°
Space group R3m (No. 160, hexagonal axes)
Inequivalent atoms, fractional coordinates:
Li  0.0000  0.0000  0.0500 x3
Li  0.0000  0.0000  0.2468 x3
Li  0.0036  0.2984  0.1482 x18
Li  0.0085  0.5042  0.6470 x9
Li  0.0098  0.5049  0.0000 x9
Li  0.0122  0.5061  0.2976 x9
Ca  0.0000  0.0000  0.7996 x3
Sm  0.0000  0.0000  0.4877 x3



A relaxed structure of VHgTe2, computed with PBE-GGA.

Properties
**Formation energy without anion corrections**: -0.1711 eV per atom
**DOS(E_F)**: 5.49 states/eV/cell
**Crystal system**: orthorhombic
**Calculated volume**: 120.2 Å³/f.u.

a = 10.409 Å, b = 3.165 Å, c = 14.591 Å
α = 90.00°, β = 90.00°, γ = 90.00°
Space group Pnma (No. 62)
Inequivalent atoms, fractional coordinates:
V  0.012  0.250  0.072 x4
Hg  0.060  0.250  0.613 x4
Te  0.140  0.750  0.194 x4
Te  0.194  0.250  0.945 x4



A relaxed structure of DyNp4S5, computed with PBE-GGA.

Properties
**Formation energy without anion corrections**: -1.4956 eV per atom
**DOS(E_F)**: 56.61 states/eV/cell
**Crystal system**: tetragonal
**Calculated volume**: 210.5 Å³/f.u.

a = 3.907 Å, b = 3.907 Å, c = 27.593 Å
α = 90.00°, β = 90.00°, γ = 90.00°
Space group I4/mmm (No. 139)
Inequivalent atoms, fractional coordinates:
Dy  0.000  0.000  0.000 x2
Np  0.000  0.000  0.200 x4
Np  0.000  0.000  0.400 x4
S  0.000  0.000  0.100 x4
S  0.000  0.000  0.300 x4
S  0.000  0.000  0.500 x2



A relaxed structure of La3HoSn12, computed with PBE-GGA.

Properties
**Energy of formation from the pure elements**: -0.54 eV per atom
**DOS(E_F)**: 8.50 states/eV/cell
**Crystal system**: tetragonal
**Calculated volume**: 436.9 Å³/f.u.

a = 4.789 Å, b = 4.789 Å, c = 19.048 Å
α = 90.00°, β = 90.00°, γ = 90.00°
Space group P4/mmm (No. 123)
Inequivalent atoms, fractional coordinates:
La  0.000  0.000  0.000 x1
La  0.000  0.000  0.253 x2
Ho  0.000  0.000  0.500 x1
Sn  0.000  0.500  0.127 x4
Sn  0.000  0.500  0.380 x4
Sn  0.500  0.500  0.000 x1
Sn  0.500  0.500  0.254 x2
Sn  0.500  0.500  0.500 x1